# PtAuI2O (GGA-PBE, relaxed)
# Energy relative to the lowest polymorph listed for this composition in eV per atom: 0.547
# Total moment in μB/atom: 0.000
# Uncorrected energy in eV/atom: -2.70
# Formation energy without anion corrections in eV/atom: 0.78
data_PtAuI2O
_cell_length_a 5.636
_cell_length_b 5.636
_cell_length_c 3.888
_cell_angle_alpha 90.00
_cell_angle_beta 90.00
_cell_angle_gamma 90.00
_symmetry_space_group_name_H-M 'P 4/m m m'
_symmetry_Int_Tables_number 123
_symmetry_space_group_name_Hall '-P 4 2'
loop_
_atom_site_label
_atom_site_type_symbol
_atom_site_fract_x
_atom_site_fract_y
_atom_site_fract_z
Pt1 Pt 0.000 0.000 0.000
Au1 Au 0.500 0.500 0.500
I1 I 0.000 0.500 0.500
O1 O 0.500 0.500 0.000

# PmGaPd (GGA-PBE, relaxed)
# Energy relative to the lowest polymorph listed for this composition in eV per atom: 0.028
# Calculated formation energy in eV/atom: -0.823
# Total moment in μB/atom: 0.000
# Uncorrected energy in eV/atom: -5.15
data_PmGaPd
_cell_length_a 4.4700
_cell_length_b 4.4700
_cell_length_c 3.7670
_cell_angle_alpha 90.00
_cell_angle_beta 90.00
_cell_angle_gamma 120.00
_symmetry_space_group_name_H-M 'P -6 m 2'
_symmetry_Int_Tables_number 187
_symmetry_space_group_name_Hall 'P -6 2'
loop_
_atom_site_label
_atom_site_type_symbol
_atom_site_fract_x
_atom_site_fract_y
_atom_site_fract_z
Pm1 Pm 0.0000 0.0000 0.0000
Ga1 Ga 0.3333 0.6667 0.5000
Pd1 Pd 0.6667 0.3333 0.5000

# K2Bi2As (GGA-PBE, relaxed)
# Calculated formation energy in eV/atom: -0.203
# Total moment in μB/atom: 0.000
# Uncorrected energy in eV/atom: -3.12
data_K2Bi2As
_cell_length_a 7.907
_cell_length_b 7.907
_cell_length_c 5.680
_cell_angle_alpha 90.00
_cell_angle_beta 90.00
_cell_angle_gamma 90.00
_symmetry_space_group_name_H-M 'P 4/m b m'
_symmetry_Int_Tables_number 127
_symmetry_space_group_name_Hall '-P 4 2ab'
loop_
_atom_site_label
_atom_site_type_symbol
_atom_site_fract_x
_atom_site_fract_y
_atom_site_fract_z
K1 K 0.174 0.326 0.000
Bi1 Bi 0.137 0.637 0.500
As1 As 0.000 0.000 0.500

# NaTlRuF6 (GGA-PBE, relaxed)
# Total moment in μB/atom: 0.222
# Uncorrected energy in eV/atom: -4.75
# Formation energy without anion corrections in eV/atom: -2.06
data_NaTlRuF6
_cell_length_a 5.8209
_cell_length_b 5.8209
_cell_length_c 5.7286
_cell_angle_alpha 90.00
_cell_angle_beta 90.00
_cell_angle_gamma 120.00
_symmetry_space_group_name_H-M 'P 3 1 2'
_symmetry_Int_Tables_number 149
loop_
_symmetry_equiv_pos_as_xyz
'x,y,z'
'-y,x-y,z'
'-x+y,-x,z'
'-y,-x,-z'
'-x+y,y,-z'
'x,x-y,-z'
loop_
_atom_site_label
_atom_site_type_symbol
_atom_site_fract_x
_atom_site_fract_y
_atom_site_fract_z
Na1 Na 0.0000 0.0000 0.0000
Tl1 Tl 0.6667 0.3333 0.5000
Ru1 Ru 0.3333 0.6667 0.0000
F1 F 0.0622 0.3827 0.1928

# CePuCoSi (GGA-PBE, relaxed)
# Total moment in μB/atom: 1.503
# Uncorrected energy in eV/atom: -8.45
# Formation energy without anion corrections in eV/atom: -0.25
data_CePuCoSi
_cell_length_a 4.6057
_cell_length_b 4.6057
_cell_length_c 4.6922
_cell_angle_alpha 90.00
_cell_angle_beta 90.00
_cell_angle_gamma 120.00
_symmetry_space_group_name_H-M 'P 3 m 1'
_symmetry_Int_Tables_number 156
loop_
_symmetry_equiv_pos_as_xyz
'x,y,z'
'-y,x-y,z'
'-x+y,-x,z'
'-y,-x,z'
'-x+y,y,z'
'x,x-y,z'
loop_
_atom_site_label
_atom_site_type_symbol
_atom_site_fract_x
_atom_site_fract_y
_atom_site_fract_z
Ce1 Ce 0.0000 0.0000 0.0000
Pu1 Pu 0.3333 0.6667 0.4401
Co1 Co 0.6667 0.3333 0.2181
Si1 Si 0.6667 0.3333 0.7163

# ZnCoIr2 (GGA-PBE, relaxed)
# Calculated formation energy in eV/atom: -0.014
# Total moment in μB/atom: 0.684
# Uncorrected energy in eV/atom: -6.54
data_ZnCoIr2
_cell_length_a 2.7329
_cell_length_b 2.7329
_cell_length_c 25.4704
_cell_angle_alpha 90.00
_cell_angle_beta 90.00
_cell_angle_gamma 120.00
_symmetry_space_group_name_H-M 'R -3 m'
_symmetry_Int_Tables_number 166
_symmetry_space_group_name_Hall '-R 3 2"'
loop_
_atom_site_label
_atom_site_type_symbol
_atom_site_fract_x
_atom_site_fract_y
_atom_site_fract_z
Zn1 Zn 0.0000 0.0000 0.0000
Co1 Co 0.0000 0.0000 0.5000
Ir1 Ir 0.0000 0.0000 0.2473

# Cd3Cu (GGA-PBE, relaxed)
# Calculated formation energy in eV/atom: 0.096
# Total moment in μB/atom: 0.000
# Uncorrected energy in eV/atom: -1.61
data_Cd3Cu
_cell_length_a 3.0709
_cell_length_b 3.0709
_cell_length_c 28.9963
_cell_angle_alpha 90.00
_cell_angle_beta 90.00
_cell_angle_gamma 120.00
_symmetry_space_group_name_H-M 'R -3 m'
_symmetry_Int_Tables_number 166
_symmetry_space_group_name_Hall '-R 3 2"'
loop_
_atom_site_label
_atom_site_type_symbol
_atom_site_fract_x
_atom_site_fract_y
_atom_site_fract_z
Cd1 Cd 0.0000 0.0000 0.0000
Cd2 Cd 0.0000 0.0000 0.2407
Cu1 Cu 0.0000 0.0000 0.5000

# LiPmH8Rh2 (GGA-PBE, relaxed)
# Total moment in μB/atom: 0.000
# Uncorrected energy in eV/atom: -4.34
data_LiPmH8Rh2
_cell_length_a 4.7729
_cell_length_b 4.7729
_cell_length_c 16.0424
_cell_angle_alpha 90.00
_cell_angle_beta 90.00
_cell_angle_gamma 120.00
_symmetry_space_group_name_H-M 'R -3'
_symmetry_Int_Tables_number 148
_symmetry_space_group_name_Hall '-R 3'
loop_
_atom_site_label
_atom_site_type_symbol
_atom_site_fract_x
_atom_site_fract_y
_atom_site_fract_z
Li1 Li 0.0000 0.0000 0.0000
Pm1 Pm 0.0000 0.0000 0.5000
H1 H 0.0000 0.0000 0.1916
H2 H 0.0075 0.7262 0.3790
Rh1 Rh 0.0000 0.0000 0.2977

# KTl6 (GGA-PBE, relaxed)
# Energy relative to the lowest polymorph listed for this composition in eV per atom: 0.196
# Calculated formation energy in eV/atom: 0.153
# Total moment in μB/atom: 0.000
# Uncorrected energy in eV/atom: -2.03
data_KTl6
_cell_length_a 8.559
_cell_length_b 8.559
_cell_length_c 8.559
_cell_angle_alpha 90.00
_cell_angle_beta 90.00
_cell_angle_gamma 90.00
_symmetry_space_group_name_H-M 'I m -3 m'
_symmetry_Int_Tables_number 229
_symmetry_space_group_name_Hall '-I 4 2 3'
loop_
_atom_site_label
_atom_site_type_symbol
_atom_site_fract_x
_atom_site_fract_y
_atom_site_fract_z
K1 K 0.000 0.000 0.000
Tl1 Tl 0.000 0.250 0.500

# CaSCl (GGA-PBE, relaxed)
# Total moment in μB/atom: 0.000
# Uncorrected energy in eV/atom: -4.45
# Formation energy without anion corrections in eV/atom: -1.79
data_CaSCl
_cell_length_a 5.054
_cell_length_b 15.177
_cell_length_c 7.306
_cell_angle_alpha 90.00
_cell_angle_beta 90.00
_cell_angle_gamma 90.00
_symmetry_space_group_name_H-M 'C m c e'
_symmetry_Int_Tables_number 64
_symmetry_space_group_name_Hall '-C 2ac 2'
loop_
_atom_site_label
_atom_site_type_symbol
_atom_site_fract_x
_atom_site_fract_y
_atom_site_fract_z
Ca1 Ca 0.000 0.125 0.039
S1 S 0.250 0.020 0.750
Cl1 Cl 0.000 0.197 0.403

# Tm2GeRu (GGA-PBE, relaxed)
# Calculated formation energy in eV/atom: -0.649
# Total moment in μB/atom: 0.000
# Uncorrected energy in eV/atom: -6.36
data_Tm2GeRu
_cell_length_a 3.812
_cell_length_b 4.188
_cell_length_c 10.723
_cell_angle_alpha 90.00
_cell_angle_beta 90.00
_cell_angle_gamma 90.00
_symmetry_space_group_name_H-M 'A m m 2'
_symmetry_Int_Tables_number 38
loop_
_symmetry_equiv_pos_as_xyz
'x,y,z'
'-x,-y,z'
'-x,y,z'
'x,-y,z'
'x,y+1/2,z+1/2'
'-x,-y+1/2,z+1/2'
'-x,y+1/2,z+1/2'
'x,-y+1/2,z+1/2'
loop_
_atom_site_label
_atom_site_type_symbol
_atom_site_fract_x
_atom_site_fract_y
_atom_site_fract_z
Tm1 Tm 0.000 0.000 0.000
Tm2 Tm 0.500 0.000 0.283
Ge1 Ge 0.500 0.000 0.575
Ru1 Ru 0.000 0.000 0.732

# TbPr6Nd3Tm2 (GGA-PBE, relaxed)
# Calculated formation energy in eV/atom: 0.016
# Total moment in μB/atom: 0.000
# Uncorrected energy in eV/atom: -4.70
data_TbPr6Nd3Tm2
_cell_length_a 6.352
_cell_length_b 11.005
_cell_length_c 12.028
_cell_angle_alpha 90.00
_cell_angle_beta 100.12
_cell_angle_gamma 90.00
_symmetry_space_group_name_H-M 'C 1 2/m 1'
_symmetry_Int_Tables_number 12
loop_
_symmetry_equiv_pos_as_xyz
'x,y,z'
'-x,-y,-z'
'-x,y,-z'
'x,-y,z'
'x+1/2,y+1/2,z'
'-x+1/2,-y+1/2,-z'
'-x+1/2,y+1/2,-z'
'x+1/2,-y+1/2,z'
loop_
_atom_site_label
_atom_site_type_symbol
_atom_site_fract_x
_atom_site_fract_y
_atom_site_fract_z
Tb1 Tb 0.000 0.000 0.000
Pr1 Pr 0.248 0.500 0.245
Pr2 Pr 0.249 0.167 0.245
Nd1 Nd 0.000 0.167 0.500
Nd2 Nd 0.000 0.500 0.500
Tm1 Tm 0.000 0.333 0.000

no.,ρ (g/cm3)
1,8.90
2,8.18
3,5.34
4,4.37
5,9.08
6,15.38
7,8.43
8,5.76
9,6.70
10,2.55
11,9.92
12,7.12